VASP calculation (PBE-GGA) on a geometry-optimized La2ScFe structure.

- ΔE to the lowest computed polymorph: 51 meV per atom
- Symmetry: Immm
- DFT formation energy: 16 kJ/mol of atoms
- Volume: 101 Å³ per cell
- Crystal system: orthorhombic
- Total energy: -5.996 eV per atom

a b c (Å): 6.057 6.057 6.057
angles (deg): 144.97 126.45 65.61
Atoms (fractional coordinates):
La: 0.188 0.188 0.000
La: 0.812 0.812 0.000
Sc: 0.500 0.000 0.500
Fe: 0.000 0.500 0.500